1.
The following is a DFT calculation (GGA-PBEsol) of an optimized crystal structure of TaAs5.

Unit cell a=5.367 b=5.367 c=5.367 alpha=60.00 beta=60.00 gamma=60.00
Positions (direct):
Ta (0.000, 0.000, 0.000)
As (0.374, 0.374, 0.374)
As (0.374, 0.374, 0.877)
As (0.374, 0.877, 0.374)
As (0.750, 0.750, 0.750)
As (0.877, 0.374, 0.374)

Calculated values
Energy (eV per atom): -5.730
ΔH_f (0 K) (meV/atom): 617
Magnetic moment (μB per atom): 0.000
Distance to the lowest polymorph of the same formula (eV per atom): 0.538
Symmetry: F-43m, No. 216
Fermi-level density of states (states/eV per cell): 3.5

=====

2.
The following is a DFT calculation (GGA-PBEsol) of an optimized crystal structure of NiPtRh2.

Unit cell a=4.575 b=4.575 c=4.588 alpha=100.15 beta=100.15 gamma=34.04
Positions (direct):
Ni (0.000, 0.000, 0.000)
Pt (0.251, 0.251, 0.757)
Rh (0.497, 0.497, 0.489)
Rh (0.746, 0.746, 0.251)

Calculated values
Energy (eV per atom): -7.345
ΔH_f (0 K) (meV/atom): 4
Magnetic moment (μB per atom): 0.149
Symmetry: Cm, No. 8
Fermi-level density of states (states/eV per cell): 6.5